{"formula": "Rb2Mo2O7", "functional": "PBE+U", "state": "relaxed", "dos_at_fermi_per_ev_fu": 0.000, "crystal_system": "monoclinic", "final_energy_ev_per_cell": -70.6, "mass_density_g_cm3": 3.0, "relative_energy_mev_per_atom": 0.0, "lattice_angstrom": [[4.233, -5.548, 0.000], [4.233, 5.548, 0.000], [-1.088, 0.000, 5.566]], "species": ["Rb", "Rb", "Mo", "Mo", "O", "O", "O", "O", "O", "O", "O"], "fractional_positions": [[0.193, 0.807, 0.000], [0.807, 0.193, 0.000], [0.291, 0.291, 0.584], [0.709, 0.709, 0.416], [0.139, 0.398, 0.755], [0.142, 0.142, 0.320], [0.398, 0.139, 0.755], [0.500, 0.500, 0.500], [0.602, 0.861, 0.245], [0.858, 0.858, 0.680], [0.861, 0.602, 0.245]]}